VASP calculation (GGA-PBE) on crystalline Nd2GeH at its relaxed geometry.

## Properties
E above lowest polymorph   239 meV/atom
Total moment   0.000 Bohr magnetons per cell
E_tot   -4.667 eV per atom
D(E_F)   2.49 states/eV/f.u.
Crystal system   tetragonal

extended XYZ file:
```
4
Lattice="3.424 0.000 0.000 0.000 3.424 0.000 0.000 0.000 7.265" Properties=species:S:1:pos:R:3 pbc="T T T"
Nd 0.000 0.000 1.721
Nd 0.000 0.000 5.544
Ge 1.712 1.712 3.633
H 1.712 1.712 0.000
```